1.
The following is a DFT calculation (PBE-GGA) of a relaxed structure of Tm2Ni12P7.

CIF file:
```
data_Tm2Ni12P7
_chemical_formula_sum 'Tm2 Ni12 P7'
_cell_length_a 9.0177
_cell_length_b 9.0177
_cell_length_c 3.6591
_cell_angle_alpha 90.00
_cell_angle_beta 90.00
_cell_angle_gamma 120.00
_space_group_name_H-M_alt 'P -6'
_space_group_IT_number 174
_space_group_name_Hall 'P -6'
loop_
_atom_site_label
_atom_site_fract_x
_atom_site_fract_y
_atom_site_fract_z
_atom_site_occupancy
Tm1 0.0000 0.0000 0.0000 1
Tm2 0.3333 0.6667 0.5000 1
Ni1 0.0490 0.7652 0.5000 1
Ni2 0.1017 0.3942 0.0000 1
Ni3 0.3913 0.2109 0.0000 1
Ni4 0.5439 0.1158 0.5000 1
P1 0.0749 0.6265 0.0000 1
P2 0.2598 0.0392 0.5000 1
P3 0.6667 0.3333 0.0000 1
```

raw total energy = -0.45495 Ry/atom
ρ = 8113 kg/m³

2.
The following is a DFT calculation (PBE-GGA) of a relaxed structure of Tm3NiP.

CIF file:
```
data_Tm3NiP
_chemical_formula_sum 'Tm3 Ni1 P1'
_cell_length_a 5.0959
_cell_length_b 5.0959
_cell_length_c 5.0959
_cell_angle_alpha 90.00
_cell_angle_beta 90.00
_cell_angle_gamma 90.00
_space_group_name_H-M_alt 'P m -3 m'
_space_group_IT_number 221
_space_group_name_Hall '-P 4 2 3'
loop_
_atom_site_label
_atom_site_fract_x
_atom_site_fract_y
_atom_site_fract_z
_atom_site_occupancy
Tm1 0.0000 0.0000 0.5000 1
Ni1 0.5000 0.5000 0.5000 1
P1 0.0000 0.0000 0.0000 1
```

raw total energy = -0.36666 Ry/atom
ρ = 7485 kg/m³

3.
The following is a DFT calculation (PBE-GGA) of a relaxed structure of TmNiP.

CIF file:
```
data_TmNiP
_chemical_formula_sum 'Tm4 Ni4 P4'
_cell_length_a 3.8769
_cell_length_b 3.8769
_cell_length_c 15.0623
_cell_angle_alpha 90.00
_cell_angle_beta 90.00
_cell_angle_gamma 120.00
_space_group_name_H-M_alt 'P 63/m m c'
_space_group_IT_number 194
_space_group_name_Hall '-P 6c 2c'
loop_
_atom_site_label
_atom_site_fract_x
_atom_site_fract_y
_atom_site_fract_z
_atom_site_occupancy
Tm1 0.0000 0.0000 0.0000 1
Tm2 0.0000 0.0000 0.2500 1
Ni1 0.3333 0.6667 0.1290 1
P1 0.3333 0.6667 0.6227 1
```

raw total energy = -0.46855 Ry/atom
ρ = 8761 kg/m³

4.
The following is a DFT calculation (PBE-GGA) of a relaxed structure of TmNi3P2.

CIF file:
```
data_TmNi3P2
_chemical_formula_sum 'Tm1 Ni3 P2'
_cell_length_a 3.8456
_cell_length_b 3.8456
_cell_length_c 6.2867
_cell_angle_alpha 90.00
_cell_angle_beta 90.00
_cell_angle_gamma 120.00
_space_group_name_H-M_alt 'P -3 m 1'
_space_group_IT_number 164
_space_group_name_Hall '-P 3 2"'
loop_
_atom_site_label
_atom_site_fract_x
_atom_site_fract_y
_atom_site_fract_z
_atom_site_occupancy
Tm1 0.0000 0.0000 0.0000 1
Ni1 0.0000 0.0000 0.5000 1
Ni2 0.3333 0.6667 0.3273 1
P1 0.3333 0.6667 0.7152 1
```

raw total energy = -0.45349 Ry/atom
ρ = 8393 kg/m³